No. 1
Compound: Ag2POs
Source: the Alexandria database
Functional: PBE-GGA
Structure: optimized geometry

The value obtained for the uncorrected energy is -0.3355 Ry per atom.

It has space group P4/mmm (No. 123), with a = 4.504 Å, b = 4.504 Å, c = 3.202 Å, α = 90.00°, β = 90.00° and γ = 90.00°. The asymmetric unit holds Ag at (0.000, 0.500, 0.000), P at (0.000, 0.000, 0.500) and Os at (0.500, 0.500, 0.500).



No. 2
Compound: ZrP3Pb
Source: the Alexandria database
Functional: PBE-GGA
Structure: optimized geometry

The excess energy over the best structure of this formula in the dataset comes out at 0.0000 eV/atom.

It has space group Pm-3m (No. 221), with a = 5.050 Å, b = 5.050 Å, c = 5.050 Å, α = 90.00°, β = 90.00° and γ = 90.00°. The asymmetric unit holds Zr at (0.000, 0.000, 0.000), P at (0.000, 0.000, 0.500) and Pb at (0.500, 0.500, 0.500).



The calculation returns the following size of the total moment values, one per record and in order: 0.00; 0.00 μB/f.u..
The calculation returns the following density of states at the Fermi level values, one per record and in order: 3.0; 4.8 states/eV/f.u..